Entry from Alexandria via LeMat-Bulk: a geometry-optimized K2CdAs2 structure (PBE-GGA).

Values from the calculation:
crystal system: tetragonal
energy above the most stable polymorph in this dataset: 111 kJ/mol of formula units
DOS(E_F): 10.38 states/eV per cell
E_form: -0.40 eV/f.u.

```
data_K2CdAs2
_chemical_formula_sum 'K4 Cd2 As4'
_symmetry_space_group_name_H-M 'I 4/m m m'
_symmetry_Int_Tables_number 139
_symmetry_space_group_name_Hall '-I 4 2'
_cell_length_a 6.453
_cell_length_b 6.453
_cell_length_c 9.105
_cell_angle_alpha 90.00
_cell_angle_beta 90.00
_cell_angle_gamma 90.00
loop_
_atom_site_label
_atom_site_fract_x
_atom_site_fract_y
_atom_site_fract_z
_atom_site_occupancy
K1 0.000 0.500 0.250 1
Cd1 0.000 0.000 0.000 1
As1 0.000 0.000 0.373 1
```

---

Entry from Alexandria via LeMat-Bulk: a geometry-optimized K3Cd2As2 structure (PBE-GGA).

Values from the calculation:
crystal system: orthorhombic
DOS(E_F): 3.42 states/eV per cell
E_form: -2.25 eV/f.u.

```
data_K3Cd2As2
_chemical_formula_sum 'K12 Cd8 As8'
_symmetry_space_group_name_H-M 'P b c m'
_symmetry_Int_Tables_number 57
_symmetry_space_group_name_Hall '-P 2c 2b'
_cell_length_a 6.417
_cell_length_b 9.730
_cell_length_c 14.506
_cell_angle_alpha 90.00
_cell_angle_beta 90.00
_cell_angle_gamma 90.00
loop_
_atom_site_label
_atom_site_fract_x
_atom_site_fract_y
_atom_site_fract_z
_atom_site_occupancy
K1 0.106 0.156 0.114 1
K2 0.340 0.720 0.750 1
Cd1 0.378 0.020 0.586 1
As1 0.182 0.058 0.750 1
As2 0.404 0.750 0.000 1
```

---

Entry from Alexandria via LeMat-Bulk: a geometry-optimized KCd4As3 structure (PBE-GGA).

Values from the calculation:
crystal system: trigonal
DOS(E_F): 1.86 states/eV per cell
E_form: -1.96 eV/f.u.

```
data_KCd4As3
_chemical_formula_sum 'K3 Cd12 As9'
_symmetry_space_group_name_H-M 'R -3 m'
_symmetry_Int_Tables_number 166
_symmetry_space_group_name_Hall '-R 3 2"'
_cell_length_a 4.5579
_cell_length_b 4.5579
_cell_length_c 36.2869
_cell_angle_alpha 90.00
_cell_angle_beta 90.00
_cell_angle_gamma 120.00
loop_
_atom_site_label
_atom_site_fract_x
_atom_site_fract_y
_atom_site_fract_z
_atom_site_occupancy
K1 0.0000 0.0000 0.0000 1
Cd1 0.0000 0.0000 0.1980 1
Cd2 0.0000 0.0000 0.4119 1
As1 0.0000 0.0000 0.2722 1
As2 0.0000 0.0000 0.5000 1
```

---

Entry from Alexandria via LeMat-Bulk: a geometry-optimized KCd6As4 structure (PBE-GGA).

Values from the calculation:
crystal system: tetragonal
DOS(E_F): 2.99 states/eV per cell
E_form: -1.66 eV/f.u.

```
data_KCd6As4
_chemical_formula_sum 'K2 Cd12 As8'
_symmetry_space_group_name_H-M 'I 4/m m m'
_symmetry_Int_Tables_number 139
_symmetry_space_group_name_Hall '-I 4 2'
_cell_length_a 4.708
_cell_length_b 4.708
_cell_length_c 26.672
_cell_angle_alpha 90.00
_cell_angle_beta 90.00
_cell_angle_gamma 90.00
loop_
_atom_site_label
_atom_site_fract_x
_atom_site_fract_y
_atom_site_fract_z
_atom_site_occupancy
K1 0.000 0.000 0.000 1
Cd1 0.000 0.500 0.126 1
Cd2 0.000 0.500 0.250 1
As1 0.000 0.000 0.192 1
As2 0.000 0.000 0.429 1
```

---

Copy entry 4 word for word.
Entry from Alexandria via LeMat-Bulk: a geometry-optimized KCd6As4 structure (PBE-GGA).

Values from the calculation:
crystal system: tetragonal
DOS(E_F): 2.99 states/eV per cell
E_form: -1.66 eV/f.u.

```
data_KCd6As4
_chemical_formula_sum 'K2 Cd12 As8'
_symmetry_space_group_name_H-M 'I 4/m m m'
_symmetry_Int_Tables_number 139
_symmetry_space_group_name_Hall '-I 4 2'
_cell_length_a 4.708
_cell_length_b 4.708
_cell_length_c 26.672
_cell_angle_alpha 90.00
_cell_angle_beta 90.00
_cell_angle_gamma 90.00
loop_
_atom_site_label
_atom_site_fract_x
_atom_site_fract_y
_atom_site_fract_z
_atom_site_occupancy
K1 0.000 0.000 0.000 1
Cd1 0.000 0.500 0.126 1
Cd2 0.000 0.500 0.250 1
As1 0.000 0.000 0.192 1
As2 0.000 0.000 0.429 1
```

---

Question: Which value of DOS(E_F) does entry 4 give?
Answer: 2.99 states/eV per cell